Computed, not measured: a relaxed structure of Pu4Ir3 at the GGA-PBE level of DFT.

Geometry as POSCAR:
```
Pu4Ir3
1.0
6.939 0.000 -2.453
-3.469 6.009 -2.453
0.000 0.000 7.360
Ir Pu
6 8
Direct
0.750 0.625 0.375
0.250 0.875 0.125
0.875 0.250 0.625
0.375 0.125 0.750
0.625 0.750 0.875
0.125 0.375 0.250
0.140 0.640 0.640
0.000 0.000 0.360
0.000 0.000 0.860
0.360 0.500 0.000
0.500 0.860 0.500
0.860 0.500 0.000
0.500 0.360 0.500
0.640 0.140 0.140
```

Properties
- E_form: -43.73 kJ/mol of atoms
- Magnetization: 39.682 μB per cell
- Final energy: -12.441 eV/atom
- Space group: I-43d (220)